(1)
KLiI2N | PBE-GGA | optimized geometry

Geometry as CIF:
```
data_KLiI2N
_cell_length_a 6.566
_cell_length_b 6.566
_cell_length_c 5.290
_cell_angle_alpha 90.00
_cell_angle_beta 90.00
_cell_angle_gamma 90.00
_space_group_name_H-M_alt 'P 4/m m m'
_space_group_IT_number 123
_space_group_name_Hall '-P 4 2'
loop_
_atom_site_label
_atom_site_type_symbol
_atom_site_fract_x
_atom_site_fract_y
_atom_site_fract_z
K1 K 0.000 0.000 0.000
Li1 Li 0.500 0.500 0.500
I1 I 0.000 0.500 0.000
N1 N 0.000 0.000 0.500
```

Results
* formation energy from raw total energies: 0.352 eV per atom
* V: 45.62 Å³/atom


(2)
KLiI2N | PBE-GGA | optimized geometry

Geometry as CIF:
```
data_KLiI2N
_cell_length_a 5.867
_cell_length_b 5.867
_cell_length_c 4.478
_cell_angle_alpha 90.00
_cell_angle_beta 90.00
_cell_angle_gamma 90.00
_space_group_name_H-M_alt 'P 4/m m m'
_space_group_IT_number 123
_space_group_name_Hall '-P 4 2'
loop_
_atom_site_label
_atom_site_type_symbol
_atom_site_fract_x
_atom_site_fract_y
_atom_site_fract_z
K1 K 0.000 0.000 0.000
Li1 Li 0.500 0.500 0.500
I1 I 0.000 0.500 0.500
N1 N 0.500 0.500 0.000
```

Results
* formation energy from raw total energies: -0.045 eV per atom
* V: 30.83 Å³/atom


(3)
K2NaLiI4 | PBE-GGA | optimized geometry

Geometry as CIF:
```
data_K2NaLiI4
_cell_length_a 13.456
_cell_length_b 13.435
_cell_length_c 9.460
_cell_angle_alpha 90.00
_cell_angle_beta 134.62
_cell_angle_gamma 90.00
_space_group_name_H-M_alt 'C 1 2/c 1'
_space_group_IT_number 15
_space_group_name_Hall '-C 2yc'
loop_
_atom_site_label
_atom_site_type_symbol
_atom_site_fract_x
_atom_site_fract_y
_atom_site_fract_z
K1 K 0.000 0.000 0.000
K2 K 0.250 0.250 0.000
Na1 Na 0.250 0.250 0.500
Li1 Li 0.000 0.500 0.000
I1 I 0.000 0.266 0.016
I2 I 0.223 0.492 0.474
```

Results
* formation energy from raw total energies: -1.323 eV per atom
* V: 38.04 Å³/atom


Among the records above, which one has the lowest formation energy from raw total energies?
K2NaLiI4


Which formula does entry 1 have?
KLiI2N